Here is a geometry-optimized PrAl2SiRu2 structure from Alexandria via LeMat-Bulk. Energies are from GGA-PBE.

Raw total energy: -6.52 eV/atom
Formation energy from raw total energies: -2.9 eV per formula unit
DOS at the Fermi energy: 4.27 states/eV/f.u.

Cell: 4.435 4.435 5.798 Å, 90.00 90.00 90.00°
Fractional coordinates of all 6 atoms:
Ru (0.500, 0.000, 0.000)
Ru (0.000, 0.500, 0.000)
Si (0.000, 0.000, 0.000)
Al (0.500, 0.500, 0.741)
Al (0.500, 0.500, 0.259)
Pr (0.000, 0.000, 0.500)

Here is a geometry-optimized Pr2UAl2Ru5 structure from Alexandria via LeMat-Bulk. Energies are from GGA-PBE.

Raw total energy: -7.87 eV/atom
DOS at the Fermi energy: 5.57 states/eV/f.u.

Cell: 3.399 10.361 10.361 Å, 90.00 90.00 90.00°
Fractional coordinates of all 20 atoms:
Pr (0.000, 0.170, 0.330)
Ru (0.500, 0.000, 0.500)
Pr (0.000, 0.670, 0.170)
Al (0.000, 0.373, 0.127)
Ru (0.500, 0.698, 0.434)
Al (0.000, 0.873, 0.373)
Ru (0.500, 0.302, 0.566)
U (0.000, 0.000, 0.000)
Ru (0.500, 0.066, 0.802)
Pr (0.000, 0.830, 0.670)
U (0.000, 0.500, 0.500)
Ru (0.500, 0.802, 0.934)
Ru (0.500, 0.500, 0.000)
Ru (0.500, 0.566, 0.698)
Ru (0.500, 0.934, 0.198)
Pr (0.000, 0.330, 0.830)
Al (0.000, 0.127, 0.627)
Ru (0.500, 0.434, 0.302)
Al (0.000, 0.627, 0.873)
Ru (0.500, 0.198, 0.066)

Here is a geometry-optimized PrAlS2 structure from Alexandria via LeMat-Bulk. Energies are from GGA-PBE.

Raw total energy: -5.13 eV/atom
Formation energy from raw total energies: -3.7 eV per formula unit
DOS at the Fermi energy: 2.12 states/eV/f.u.

Cell: 3.615 3.615 8.530 Å, 77.77 77.77 60.00°
Fractional coordinates of all 4 atoms:
S (0.886, 0.886, 0.343)
Al (0.500, 0.500, 0.500)
Pr (0.000, 0.000, 0.000)
S (0.114, 0.114, 0.657)

Here is a geometry-optimized Pr4Al2S structure from Alexandria via LeMat-Bulk. Energies are from GGA-PBE.

Raw total energy: -5.13 eV/atom
Formation energy from raw total energies: -5.2 eV per formula unit
DOS at the Fermi energy: 8.16 states/eV/f.u.

Cell: 4.347 6.670 7.837 Å, 75.60 73.90 70.98°
Fractional coordinates of all 7 atoms:
Pr (0.912, 0.807, 0.369)
Pr (0.088, 0.193, 0.631)
Al (0.615, 0.430, 0.341)
Pr (0.328, 0.262, 0.082)
Al (0.385, 0.570, 0.659)
S (0.000, 0.000, 0.000)
Pr (0.672, 0.738, 0.918)

Here is a geometry-optimized PrAlS3 structure from Alexandria via LeMat-Bulk. Energies are from GGA-PBE.

Raw total energy: -5.51 eV/atom
Formation energy from raw total energies: -6.7 eV per formula unit
DOS at the Fermi energy: 0.05 states/eV/f.u.

Cell: 4.565 6.523 7.643 Å, 115.26 90.00 90.00°
Fractional coordinates of all 10 atoms:
S (0.000, 0.139, 0.279)
Al (0.500, 0.890, 0.779)
S (0.000, 0.861, 0.721)
Pr (0.000, 0.345, 0.689)
Al (0.500, 0.110, 0.221)
S (0.500, 0.500, 0.500)
S (0.500, 0.000, 0.500)
S (0.500, 0.726, 0.000)
Pr (0.000, 0.655, 0.311)
S (0.500, 0.274, 0.000)

Here is a geometry-optimized Pr9Al5S21 structure from Alexandria via LeMat-Bulk. Energies are from GGA-PBE.

Raw total energy: -5.98 eV/atom
Formation energy from raw total energies: -60.8 eV per formula unit
DOS at the Fermi energy: 0.00 states/eV/f.u.

Cell: 11.788 11.788 11.788 Å, 95.06 95.06 95.06°
Fractional coordinates of all 70 atoms:
S (0.813, 0.299, 0.389)
Al (0.047, 0.721, 0.389)
S (0.668, 0.889, 0.757)
Pr (0.583, 0.207, 0.435)
Pr (0.881, 0.741, 0.116)
Al (0.226, 0.549, 0.883)
Pr (0.550, 0.780, 0.931)
S (0.623, 0.723, 0.490)
S (0.403, 0.309, 0.548)
S (0.389, 0.813, 0.299)
Pr (0.075, 0.456, 0.224)
S (0.783, 0.358, 0.873)
S (0.873, 0.783, 0.358)
S (0.072, 0.479, 0.965)
S (0.889, 0.757, 0.668)
S (0.096, 0.001, 0.235)
S (0.358, 0.873, 0.783)
Pr (0.224, 0.075, 0.456)
Al (0.721, 0.389, 0.047)
S (0.793, 0.941, 0.033)
S (0.725, 0.162, 0.630)
S (0.757, 0.668, 0.889)
S (0.211, 0.106, 0.697)
Al (0.173, 0.173, 0.173)
S (0.309, 0.548, 0.403)
Pr (0.103, 0.246, 0.876)
Pr (0.552, 0.399, 0.768)
Pr (0.246, 0.876, 0.103)
Al (0.354, 0.354, 0.354)
S (0.840, 0.509, 0.171)
S (0.548, 0.403, 0.309)
S (0.490, 0.623, 0.723)
Pr (0.741, 0.116, 0.881)
S (0.723, 0.490, 0.623)
S (0.299, 0.389, 0.813)
Al (0.883, 0.226, 0.549)
S (0.012, 0.545, 0.448)
S (0.235, 0.096, 0.001)
S (0.673, 0.006, 0.340)
S (0.697, 0.211, 0.106)
Pr (0.116, 0.881, 0.741)
S (0.941, 0.033, 0.793)
S (0.001, 0.235, 0.096)
S (0.033, 0.793, 0.941)
S (0.509, 0.171, 0.840)
S (0.151, 0.284, 0.371)
S (0.479, 0.965, 0.072)
Pr (0.876, 0.103, 0.246)
Al (0.549, 0.883, 0.226)
Al (0.389, 0.047, 0.721)
Al (0.856, 0.856, 0.856)
Pr (0.399, 0.768, 0.552)
S (0.448, 0.012, 0.545)
S (0.545, 0.448, 0.012)
S (0.106, 0.697, 0.211)
Pr (0.931, 0.550, 0.780)
Pr (0.456, 0.224, 0.075)
Pr (0.435, 0.583, 0.207)
Pr (0.207, 0.435, 0.583)
Al (0.674, 0.674, 0.674)
Pr (0.768, 0.552, 0.399)
S (0.171, 0.840, 0.509)
S (0.162, 0.630, 0.725)
S (0.965, 0.072, 0.479)
Pr (0.780, 0.931, 0.550)
S (0.284, 0.371, 0.151)
S (0.006, 0.340, 0.673)
S (0.630, 0.725, 0.162)
S (0.371, 0.151, 0.284)
S (0.340, 0.673, 0.006)

Number 1: mass density 6.19 g/cm³. Number 2: mass density 9.82 g/cm³. Number 3: mass density 4.12 g/cm³. Number 4: mass density 5.31 g/cm³. Number 5: mass density 4.26 g/cm³. Number 6: mass density 4.26 g/cm³.